No. 1
A plane-wave DFT calculation with PBE-GGA was carried out for an optimized crystal structure of MgAlInAg.

As for the calculated volume: 324.4 Å³ per cell. As for the density of states at the Fermi level: 10.89 states/eV per cell. As for the total energy: -2.682 eV per atom. The calculation puts the theoretical density at 5.6 Mg/m³. The magnetization comes out at 0.000 μB per formula unit.

The structure belongs to space group F-43m (No. 216); the cell edges are 6.8710, 6.8710 and 6.8710 Å and the angles 90.00°, 90.00° and 90.00°. Symmetry generates all atoms from Mg at (0.0000, 0.0000, 0.0000), Al at (0.0000, 0.0000, 0.5000), In at (0.2500, 0.2500, 0.2500) and Ag at (0.2500, 0.2500, 0.7500).

No. 2
A plane-wave DFT calculation with PBE-GGA was carried out for an optimized crystal structure of NaAlInAg.

As for the calculated volume: 332.5 Å³ per cell. As for the density of states at the Fermi level: 5.77 states/eV per cell. As for the total energy: -2.625 eV per atom. The calculation puts the theoretical density at 5.4 Mg/m³. The magnetization comes out at 0.000 μB per formula unit.

The structure belongs to space group F-43m (No. 216); the cell edges are 6.9275, 6.9275 and 6.9275 Å and the angles 90.00°, 90.00° and 90.00°. Symmetry generates all atoms from Na at (0.0000, 0.0000, 0.0000), Al at (0.0000, 0.0000, 0.5000), In at (0.2500, 0.2500, 0.7500) and Ag at (0.2500, 0.2500, 0.2500).

No. 3
A plane-wave DFT calculation with PBE-GGA was carried out for an optimized crystal structure of Na2Al2InAg5.

As for the calculated volume: 420.6 Å³ per cell. As for the density of states at the Fermi level: 4.25 states/eV per cell. As for the total energy: -2.762 eV per atom. The calculation puts the theoretical density at 6.0 Mg/m³. The magnetization comes out at 0.000 μB per formula unit.

The structure belongs to space group P4/mbm (No. 127); the cell edges are 11.8355, 11.8355 and 3.0027 Å and the angles 90.00°, 90.00° and 90.00°. Symmetry generates all atoms from Na at (0.1725, 0.3275, 0.0000), Al at (0.1309, 0.6309, 0.0000), In at (0.0000, 0.0000, 0.0000), Ag at (0.0000, 0.5000, 0.5000) and Ag at (0.0647, 0.8021, 0.5000).

No. 4
A plane-wave DFT calculation with PBE-GGA was carried out for an optimized crystal structure of NdAlInAg.

As for the calculated volume: 365.3 Å³ per cell. As for the density of states at the Fermi level: 7.11 states/eV per cell. As for the total energy: -3.775 eV per atom. The calculation puts the theoretical density at 7.2 Mg/m³. The magnetization comes out at 0.000 μB per formula unit.

The structure belongs to space group F-43m (No. 216); the cell edges are 7.1487, 7.1487 and 7.1487 Å and the angles 90.00°, 90.00° and 90.00°. Symmetry generates all atoms from Nd at (0.0000, 0.0000, 0.0000), Al at (0.2500, 0.2500, 0.2500), In at (0.0000, 0.0000, 0.5000) and Ag at (0.2500, 0.2500, 0.7500).

No. 5
A plane-wave DFT calculation with PBE-GGA was carried out for an optimized crystal structure of Nd2Al3InAg4.

As for the calculated volume: 218.0 Å³ per cell. As for the density of states at the Fermi level: 5.37 states/eV per cell. As for the total energy: -3.808 eV per atom. The calculation puts the theoretical density at 7.0 Mg/m³. The magnetization comes out at 0.000 μB per formula unit.

The structure belongs to space group P-4m2 (No. 115); the cell edges are 4.4469, 4.4469 and 11.0253 Å and the angles 90.00°, 90.00° and 90.00°. Symmetry generates all atoms from Nd at (0.0000, 0.5000, 0.2418), Al at (0.0000, 0.5000, 0.8729), Al at (0.5000, 0.5000, 0.5000), In at (0.0000, 0.0000, 0.5000), Ag at (0.0000, 0.0000, 0.0000), Ag at (0.0000, 0.5000, 0.6451) and Ag at (0.5000, 0.5000, 0.0000).

No. 6
A plane-wave DFT calculation with PBE-GGA was carried out for an optimized crystal structure of AlInNi2Ag.

As for the calculated volume: 105.7 Å³ per cell. As for the density of states at the Fermi level: 5.41 states/eV per cell. As for the total energy: -3.103 eV per atom. The calculation puts the theoretical density at 5.8 Mg/m³. The magnetization comes out at 0.498 μB per formula unit.

The structure belongs to space group P4/mmm (No. 123); the cell edges are 4.6510, 4.6510 and 4.8869 Å and the angles 90.00°, 90.00° and 90.00°. Symmetry generates all atoms from Al at (0.0000, 0.0000, 0.0000), In at (0.5000, 0.5000, 0.0000), Ni at (0.0000, 0.5000, 0.5000) and Ag at (0.5000, 0.5000, 0.5000).

No. 7
A plane-wave DFT calculation with PBE-GGA was carried out for an optimized crystal structure of AlInAg2O.

As for the calculated volume: 124.8 Å³ per cell. The calculation puts the uncorrected formation energy at 0.80 eV per atom. As for the density of states at the Fermi level: 5.85 states/eV per cell. The calculation puts the theoretical density at 5.0 Mg/m³. The magnetization comes out at 0.000 μB per formula unit.

The structure belongs to space group P4/mmm (No. 123); the cell edges are 4.8220, 4.8220 and 5.3659 Å and the angles 90.00°, 90.00° and 90.00°. Symmetry generates all atoms from Al at (0.0000, 0.0000, 0.0000), In at (0.0000, 0.0000, 0.5000), Ag at (0.0000, 0.5000, 0.0000) and O at (0.5000, 0.5000, 0.5000).

No. 8
A plane-wave DFT calculation with PBE-GGA was carried out for an optimized crystal structure of PaAlInAg.

As for the calculated volume: 347.4 Å³ per cell. As for the density of states at the Fermi level: 11.12 states/eV per cell. As for the total energy: -4.640 eV per atom. The calculation puts the theoretical density at 9.2 Mg/m³. The magnetization comes out at 0.000 μB per formula unit.

The structure belongs to space group F-43m (No. 216); the cell edges are 7.0300, 7.0300 and 7.0300 Å and the angles 90.00°, 90.00° and 90.00°. Symmetry generates all atoms from Pa at (0.0000, 0.0000, 0.0000), Al at (0.2500, 0.2500, 0.7500), In at (0.0000, 0.0000, 0.5000) and Ag at (0.2500, 0.2500, 0.2500).

No. 9
A plane-wave DFT calculation with PBE-GGA was carried out for an optimized crystal structure of Al2In2AgPd5.

As for the calculated volume: 343.1 Å³ per cell. As for the density of states at the Fermi level: 8.13 states/eV per cell. As for the total energy: -4.609 eV per atom. The calculation puts the theoretical density at 8.9 Mg/m³. The magnetization comes out at 0.000 μB per formula unit.

The structure belongs to space group P4/mbm (No. 127); the cell edges are 9.6726, 9.6726 and 3.6670 Å and the angles 90.00°, 90.00° and 90.00°. Symmetry generates all atoms from Al at (0.1270, 0.3730, 0.0000), In at (0.1720, 0.6720, 0.0000), Ag at (0.0000, 0.0000, 0.0000), Pd at (0.0000, 0.5000, 0.5000) and Pd at (0.0837, 0.2024, 0.5000).

No. 10
A plane-wave DFT calculation with PBE-GGA was carried out for an optimized crystal structure of Pm4AlInAg2.

As for the calculated volume: 644.8 Å³ per cell. As for the density of states at the Fermi level: 26.25 states/eV per cell. As for the total energy: -4.235 eV per atom. The calculation puts the theoretical density at 7.2 Mg/m³. The magnetization comes out at 0.015 μB per formula unit.

The structure belongs to space group R-3m (No. 166, hexagonal axes); the cell edges are 5.3335, 5.3335 and 26.1754 Å and the angles 90.00°, 90.00° and 120.00°. Symmetry generates all atoms from Pm at (0.0000, 0.0000, 0.1221), Pm at (0.0000, 0.0000, 0.3722), Al at (0.0000, 0.0000, 0.0000), In at (0.0000, 0.0000, 0.5000) and Ag at (0.0000, 0.0000, 0.2487).

No. 11
A plane-wave DFT calculation with PBE-GGA was carried out for an optimized crystal structure of PrAlInAg.

As for the calculated volume: 370.0 Å³ per cell. As for the density of states at the Fermi level: 6.56 states/eV per cell. As for the total energy: -3.777 eV per atom. The calculation puts the theoretical density at 7.0 Mg/m³. The magnetization comes out at 0.000 μB per formula unit.

The structure belongs to space group F-43m (No. 216); the cell edges are 7.1792, 7.1792 and 7.1792 Å and the angles 90.00°, 90.00° and 90.00°. Symmetry generates all atoms from Pr at (0.0000, 0.0000, 0.0000), Al at (0.2500, 0.2500, 0.2500), In at (0.0000, 0.0000, 0.5000) and Ag at (0.2500, 0.2500, 0.7500).

No. 12
A plane-wave DFT calculation with PBE-GGA was carried out for an optimized crystal structure of Pr2Al3InAg4.

As for the calculated volume: 220.1 Å³ per cell. As for the density of states at the Fermi level: 5.52 states/eV per cell. As for the total energy: -3.815 eV per atom. The calculation puts the theoretical density at 6.9 Mg/m³. The magnetization comes out at 0.000 μB per formula unit.

The structure belongs to space group P-4m2 (No. 115); the cell edges are 4.4702, 4.4702 and 11.0171 Å and the angles 90.00°, 90.00° and 90.00°. Symmetry generates all atoms from Pr at (0.0000, 0.5000, 0.2419), Al at (0.0000, 0.5000, 0.8733), Al at (0.5000, 0.5000, 0.5000), In at (0.0000, 0.0000, 0.5000), Ag at (0.0000, 0.0000, 0.0000), Ag at (0.0000, 0.5000, 0.6444) and Ag at (0.5000, 0.5000, 0.0000).

Which of these has the lowest theoretical density? AlInAg2O